# 1
# PBE Mn2GaTc2, relaxed
data_Mn2GaTc2
_cell_length_a 7.051
_cell_length_b 7.051
_cell_length_c 2.747
_cell_angle_alpha 90.00
_cell_angle_beta 90.00
_cell_angle_gamma 90.00
_space_group_name_H-M_alt 'P 4/m b m'
_space_group_IT_number 127
_space_group_name_Hall '-P 4 2ab'
loop_
_atom_site_label
_atom_site_fract_x
_atom_site_fract_y
_atom_site_fract_z
Mn1 0.126 0.374 0.000
Ga1 0.000 0.000 0.000
Tc1 0.164 0.664 0.500
# * calculated formation energy: 0.16 eV/atom

---

# 2
# PBE SrCaSn4, relaxed
data_SrCaSn4
_cell_length_a 8.967
_cell_length_b 8.967
_cell_length_c 8.967
_cell_angle_alpha 90.00
_cell_angle_beta 90.00
_cell_angle_gamma 90.00
_space_group_name_H-M_alt 'F -4 3 m'
_space_group_IT_number 216
_space_group_name_Hall 'F -4 2 3'
loop_
_atom_site_label
_atom_site_fract_x
_atom_site_fract_y
_atom_site_fract_z
Sr1 0.000 0.000 0.000
Ca1 0.250 0.250 0.250
Sn1 0.125 0.125 0.625
# * calculated formation energy: -0.47 eV/atom

---

# 3
# PBE NaPbSe2Br, relaxed
data_NaPbSe2Br
_cell_length_a 5.447
_cell_length_b 5.447
_cell_length_c 5.974
_cell_angle_alpha 90.00
_cell_angle_beta 90.00
_cell_angle_gamma 90.00
_space_group_name_H-M_alt 'P 4/m m m'
_space_group_IT_number 123
_space_group_name_Hall '-P 4 2'
loop_
_atom_site_label
_atom_site_fract_x
_atom_site_fract_y
_atom_site_fract_z
Na1 0.000 0.000 0.000
Pb1 0.500 0.500 0.500
Se1 0.000 0.500 0.500
Br1 0.500 0.500 0.000
# * formation energy from raw total energies: -1.52 eV per formula unit

---

no.,total DFT energy (no corrections) (eV per cell),volume (Å³/atom)
1,-82.6,13.66
2,-90.0,30.04
3,-15.2,35.44